Here is a geometry-optimized LaTl2Cd structure from Alexandria. Energies are from PBEsol.

a b c (Å): 4.6488 4.7716 4.7716
angles (deg): 90.00 90.00 90.00
Closest atoms and distances in Å follow each position.
Positions (direct):
Tl 0.0000 0.0000 0.5000  4 Cd 3.33, 4 La 3.33, 4 Tl 3.37
Tl 0.0000 0.5000 0.0000  4 Cd 3.33, 4 La 3.33, 4 Tl 3.37
La 0.5000 0.0000 0.0000  8 Tl 3.33, 4 Cd 3.37
Cd 0.5000 0.5000 0.5000  8 Tl 3.33, 4 La 3.37

Output
The value obtained for the density of states at the Fermi level is 0.523 states/eV per atom. For the formation enthalpy at 0 K, the calculation gives -362 meV per atom. The volume comes out at 106 Å³/cell.

---

Here is a geometry-optimized Li3Lu3Te2O12 structure from Alexandria. Energies are from PBEsol.

a b c (Å): 10.4537 10.4537 10.4537
angles (deg): 109.47 109.47 109.47
Closest atoms and distances in Å follow each position.
Positions (direct):
Li 0.7500 0.1250 0.3750  4 O 1.85
Li 0.2500 0.8750 0.6250  4 O 1.85
Li 0.2500 0.3750 0.1250  4 O 1.85
Li 0.6250 0.2500 0.8750  4 O 1.85
Li 0.3750 0.7500 0.1250  4 O 1.85
Li 0.7500 0.6250 0.8750  4 O 1.85
Li 0.8750 0.7500 0.6250  4 O 1.85
Li 0.1250 0.2500 0.3750  4 O 1.85
Li 0.3750 0.6250 0.7500  4 O 1.85
Li 0.6250 0.3750 0.2500  4 O 1.85
Li 0.1250 0.8750 0.2500  4 O 1.85
Li 0.8750 0.1250 0.7500  4 O 1.85
Lu 0.7500 0.8750 0.1250  8 O 2.29-2.38
Lu 0.2500 0.1250 0.8750  8 O 2.29-2.38
Lu 0.2500 0.6250 0.3750  8 O 2.29-2.38
Lu 0.8750 0.2500 0.1250  8 O 2.29-2.38
Lu 0.6250 0.7500 0.3750  8 O 2.29-2.38
Lu 0.7500 0.3750 0.6250  8 O 2.29-2.38
Lu 0.1250 0.7500 0.8750  8 O 2.29-2.38
Lu 0.3750 0.2500 0.6250  8 O 2.29-2.38
Lu 0.6250 0.8750 0.7500  8 O 2.29-2.38
Lu 0.3750 0.1250 0.2500  8 O 2.29-2.38
Lu 0.8750 0.6250 0.2500  8 O 2.29-2.38
Lu 0.1250 0.3750 0.7500  8 O 2.29-2.38
Te 0.0000 0.0000 0.0000  6 O 1.94
Te 0.5000 0.0000 0.5000  6 O 1.94
Te 0.0000 0.5000 0.5000  6 O 1.94
Te 0.5000 0.5000 0.5000  6 O 1.94
Te 0.5000 0.5000 0.0000  6 O 1.94
Te 0.5000 0.0000 0.0000  6 O 1.94
Te 0.0000 0.5000 0.0000  6 O 1.94
Te 0.0000 0.0000 0.5000  6 O 1.94
O 0.5310 0.8264 0.9079  1 Li 1.85, 1 Te 1.94
O 0.4690 0.1736 0.0921  1 Li 1.85, 1 Te 1.94
O 0.4185 0.6231 0.5921  1 Li 1.85, 1 Te 1.94
O 0.0815 0.6736 0.2046  1 Li 1.85, 1 Te 1.94
O 0.7046 0.0815 0.1736  1 Li 1.85, 1 Te 1.94
O 0.6736 0.9690 0.5921  1 Li 1.85, 1 Te 1.94
O 0.5815 0.3769 0.4079  1 Li 1.85, 1 Te 1.94
O 0.9185 0.3264 0.7954  1 Li 1.85, 1 Te 1.94
O 0.2954 0.9185 0.8264  1 Li 1.85, 1 Te 1.94
O 0.3264 0.0310 0.4079  1 Li 1.85, 1 Te 1.94
O 0.9690 0.8769 0.2954  1 Li 1.85, 1 Te 1.94
O 0.7954 0.9690 0.3769  1 Li 1.85, 1 Te 1.94
O 0.8769 0.0815 0.9079  1 Li 1.85, 1 Te 1.94
O 0.0310 0.1231 0.7046  1 Li 1.85, 1 Te 1.94
O 0.2046 0.0310 0.6231  1 Li 1.85, 1 Te 1.94
O 0.1231 0.9185 0.0921  1 Li 1.85, 1 Te 1.94
O 0.4079 0.5310 0.3264  1 Li 1.85, 1 Te 1.94
O 0.8264 0.4185 0.2954  1 Li 1.85, 1 Te 1.94
O 0.5921 0.4690 0.6736  1 Li 1.85, 1 Te 1.94
O 0.1736 0.5815 0.7046  1 Li 1.85, 1 Te 1.94
O 0.0921 0.4185 0.1231  1 Li 1.85, 1 Te 1.94
O 0.6231 0.5310 0.2046  1 Li 1.85, 1 Te 1.94
O 0.9079 0.5815 0.8769  1 Li 1.85, 1 Te 1.94
O 0.3769 0.4690 0.7954  1 Li 1.85, 1 Te 1.94
O 0.6231 0.0921 0.9185  1 Li 1.85, 1 Te 1.94
O 0.4185 0.7954 0.3264  1 Li 1.85, 1 Te 1.94
O 0.3769 0.9079 0.0815  1 Li 1.85, 1 Te 1.94
O 0.5815 0.2046 0.6736  1 Li 1.85, 1 Te 1.94
O 0.8769 0.7954 0.4690  1 Li 1.85, 1 Te 1.94
O 0.9690 0.0921 0.1736  1 Li 1.85, 1 Te 1.94
O 0.1231 0.2046 0.5310  1 Li 1.85, 1 Te 1.94
O 0.0310 0.9079 0.8264  1 Li 1.85, 1 Te 1.94
O 0.6736 0.7046 0.5815  1 Li 1.85, 1 Te 1.94
O 0.0815 0.4079 0.3769  1 Li 1.85, 1 Te 1.94
O 0.3264 0.2954 0.4185  1 Li 1.85, 1 Te 1.94
O 0.9185 0.5921 0.6231  1 Li 1.85, 1 Te 1.94
O 0.8264 0.4079 0.0310  1 Li 1.85, 1 Te 1.94
O 0.5310 0.7046 0.1231  1 Li 1.85, 1 Te 1.94
O 0.1736 0.5921 0.9690  1 Li 1.85, 1 Te 1.94
O 0.4690 0.2954 0.8769  1 Li 1.85, 1 Te 1.94
O 0.7046 0.6231 0.0310  1 Li 1.85, 1 Te 1.94
O 0.2954 0.3769 0.9690  1 Li 1.85, 1 Te 1.94
O 0.7954 0.8264 0.9185  1 Li 1.85, 1 Te 1.94
O 0.2046 0.1736 0.0815  1 Li 1.85, 1 Te 1.94
O 0.0921 0.6736 0.4690  1 Li 1.85, 1 Te 1.94
O 0.9079 0.3264 0.5310  1 Li 1.85, 1 Te 1.94
O 0.4079 0.8769 0.5815  1 Li 1.85, 1 Te 1.94
O 0.5921 0.1231 0.4185  1 Li 1.85, 1 Te 1.94

Output
The raw formation energy comes out at -4668 kJ/mol of formula units. The value obtained for the density of states at the Fermi level is 0.000 states/eV per atom. The volume comes out at 879 Å³/cell.

---

Here is a geometry-optimized TbZrSb structure from Alexandria. Energies are from PBEsol.

a b c (Å): 4.2173 4.2173 8.7680
angles (deg): 103.92 103.92 90.00
Closest atoms and distances in Å follow each position.
Positions (direct):
Sb 0.1328 0.1328 0.2655  4 Zr 3.04, 5 Tb 3.07-3.13
Sb 0.8672 0.8672 0.7345  4 Zr 3.04, 5 Tb 3.07-3.13
Tb 0.3228 0.3228 0.6457  5 Sb 3.07-3.13
Tb 0.6772 0.6772 0.3543  5 Sb 3.07-3.13
Zr 0.5000 0.0000 0.0000  4 Zr 2.98, 4 Sb 3.04
Zr 0.0000 0.5000 0.0000  4 Zr 2.98, 4 Sb 3.04

Output
The raw formation energy comes out at -250 kJ/mol of formula units. The value obtained for the density of states at the Fermi level is 0.936 states/eV per atom. The volume comes out at 147 Å³/cell.

---

Here is a geometry-optimized CaAs3F structure from Alexandria. Energies are from PBEsol.

a b c (Å): 4.5771 4.5771 4.5771
angles (deg): 90.00 90.00 90.00
Closest atoms and distances in Å follow each position.
Positions (direct):
As 0.0000 0.5000 0.0000  2 F 2.29
As 0.0000 0.0000 0.5000  2 F 2.29
As 0.5000 0.0000 0.0000  2 F 2.29
Ca 0.5000 0.5000 0.5000  12 As 3.24
F 0.0000 0.0000 0.0000  6 As 2.29

Output
The raw formation energy comes out at -202 kJ/mol of formula units. The value obtained for the density of states at the Fermi level is 0.451 states/eV per atom. The volume comes out at 96 Å³/cell.

---

Here is a geometry-optimized AlBiAsRu2 structure from Alexandria. Energies are from PBEsol.

a b c (Å): 4.5780 4.5780 4.7078
angles (deg): 90.00 90.00 90.00
Closest atoms and distances in Å follow each position.
Positions (direct):
Ru 0.0000 0.5000 0.0000  2 As 2.29
Ru 0.5000 0.0000 0.0000  2 As 2.29
As 0.0000 0.0000 0.0000  4 Ru 2.29, 2 Al 2.35
Bi 0.5000 0.5000 0.5000  4 Al 3.24, 8 Ru 3.28
Al 0.0000 0.0000 0.5000  2 As 2.35

Output
The value obtained for the density of states at the Fermi level is 0.926 states/eV per atom. For the formation enthalpy at 0 K, the calculation gives 776 meV per atom. The volume comes out at 99 Å³/cell.

---

Here is a geometry-optimized NbSn3Cl structure from Alexandria. Energies are from PBEsol.

a b c (Å): 5.0906 5.0906 5.0906
angles (deg): 90.00 90.00 90.00
Closest atoms and distances in Å follow each position.
Positions (direct):
Nb 0.5000 0.5000 0.5000  12 Sn 3.60
Sn 0.0000 0.5000 0.0000  2 Cl 2.55
Sn 0.0000 0.0000 0.5000  2 Cl 2.55
Sn 0.5000 0.0000 0.0000  2 Cl 2.55
Cl 0.0000 0.0000 0.0000  6 Sn 2.55

Output
The raw formation energy comes out at 448 kJ/mol of formula units. The value obtained for the density of states at the Fermi level is 1.309 states/eV per atom. The volume comes out at 132 Å³/cell.

---

Here is a geometry-optimized Ca2FeH6 structure from Alexandria. Energies are from PBEsol.

a b c (Å): 4.8803 4.8803 4.8803
angles (deg): 60.00 60.00 60.00
Closest atoms and distances in Å follow each position.
Positions (direct):
H 0.2299 0.7701 0.2299  1 Fe 1.59
H 0.7701 0.7701 0.2299  1 Fe 1.59
H 0.2299 0.7701 0.7701  1 Fe 1.59
H 0.7701 0.2299 0.7701  1 Fe 1.59
H 0.2299 0.2299 0.7701  1 Fe 1.59
H 0.7701 0.2299 0.2299  1 Fe 1.59
Ca 0.2500 0.2500 0.2500  12 H 2.44
Ca 0.7500 0.7500 0.7500  12 H 2.44
Fe 0.0000 0.0000 0.0000  6 H 1.59

Output
The calculation puts the total energy at -38.299 eV for the cell shown. The volume comes out at 82 Å³/cell.

---

Here is a geometry-optimized Rb2NiIr structure from Alexandria. Energies are from PBEsol.

a b c (Å): 5.2868 5.2868 5.2868
angles (deg): 60.00 60.00 60.00
Closest atoms and distances in Å follow each position.
Positions (direct):
Ni 0.0000 0.0000 0.0000  8 Rb 3.24
Ir 0.5000 0.5000 0.5000  8 Rb 3.24
Rb 0.2500 0.2500 0.2500  4 Ni 3.24, 4 Ir 3.24
Rb 0.7500 0.7500 0.7500  4 Ni 3.24, 4 Ir 3.24

Output
The value obtained for the density of states at the Fermi level is 2.592 states/eV per atom. For the formation enthalpy at 0 K, the calculation gives 1681 meV per atom. The volume comes out at 104 Å³/cell.

---

Here is a geometry-optimized HgPtC2 structure from Alexandria. Energies are from PBEsol.

a b c (Å): 4.9510 4.9510 5.9462
angles (deg): 114.60 114.60 90.00
Closest atoms and distances in Å follow each position.
Positions (direct):
C 0.4322 0.8750 0.2500  2 Pt 1.97
C 0.8178 0.3750 0.2500  2 Pt 1.97
C 0.1250 0.1822 0.7500  2 Pt 1.97
C 0.6250 0.5678 0.7500  2 Pt 1.97
Hg 0.2500 0.7500 0.5000  4 C 2.30
Hg 0.0000 0.0000 0.0000  4 C 2.30
Pt 0.7500 0.2500 0.5000  4 C 1.97
Pt 0.5000 0.5000 0.0000  4 C 1.97

Output
The value obtained for the density of states at the Fermi level is 0.422 states/eV per atom. For the formation enthalpy at 0 K, the calculation gives 1439 meV per atom. The volume comes out at 118 Å³/cell.

---

Here is a geometry-optimized ZrP4W structure from Alexandria. Energies are from PBEsol.

a b c (Å): 4.9681 4.9681 4.9681
angles (deg): 60.00 60.00 60.00
Closest atoms and distances in Å follow each position.
Positions (direct):
P 0.3756 0.3756 0.3756  6 P 2.47-2.50
P 0.3756 0.3756 0.8733  6 P 2.47-2.50
P 0.8733 0.3756 0.3756  6 P 2.47-2.50
P 0.3756 0.8733 0.3756  6 P 2.47-2.50
W 0.7500 0.7500 0.7500  12 P 2.91, 4 Zr 3.04
Zr 0.0000 0.0000 0.0000  12 P 2.91, 4 W 3.04

Output
The value obtained for the density of states at the Fermi level is 0.609 states/eV per atom. For the formation enthalpy at 0 K, the calculation gives 351 meV per atom. The volume comes out at 87 Å³/cell.

---

Here is a geometry-optimized Cs2P4Pd3O14 structure from Alexandria. Energies are from PBEsol.

a b c (Å): 7.6338 8.0385 14.4004
angles (deg): 90.00 90.00 118.35
Closest atoms and distances in Å follow each position.
Positions (direct):
Cs 0.0757 0.1514 0.0936  10 O 3.12-3.36
Cs 0.9243 0.8486 0.5936  10 O 3.12-3.36
Cs 0.2176 0.4351 0.8257  6 O 3.08-3.31
Cs 0.7824 0.5649 0.3257  6 O 3.08-3.31
P 0.3256 0.0236 0.2939  4 O 1.53-1.62
P 0.6980 0.0236 0.2939  4 O 1.53-1.62
P 0.6744 0.9764 0.7939  4 O 1.53-1.62
P 0.3020 0.9764 0.7939  4 O 1.53-1.62
P 0.0235 0.4187 0.5515  4 O 1.52-1.63
P 0.3952 0.4187 0.5515  4 O 1.52-1.63
P 0.9765 0.5813 0.0515  4 O 1.52-1.63
P 0.6048 0.5813 0.0515  4 O 1.52-1.63
Pd 0.1042 0.2084 0.4012  4 O 1.99-2.01
Pd 0.8958 0.7916 0.9012  4 O 1.99-2.01
Pd 0.3824 0.7648 0.1613  4 O 1.99-2.00
Pd 0.6176 0.2352 0.6613  4 O 1.99-2.00
Pd 0.3645 0.7290 0.4267  4 O 2.01-2.02
Pd 0.6355 0.2710 0.9267  4 O 2.01-2.02
O 0.5652 0.1305 0.3085  2 P 1.62
O 0.4348 0.8695 0.8085  2 P 1.62
O 0.2342 0.8710 0.3689  1 P 1.53
O 0.6368 0.8710 0.3689  1 P 1.53
O 0.7658 0.1290 0.8689  1 P 1.53
O 0.3632 0.1290 0.8689  1 P 1.53
O 0.2842 0.9481 0.1936  1 P 1.54
O 0.6640 0.9481 0.1936  1 P 1.54
O 0.7158 0.0519 0.6936  1 P 1.54
O 0.3360 0.0519 0.6936  1 P 1.54
O 0.2687 0.1812 0.3009  1 P 1.53
O 0.9125 0.1812 0.3009  1 P 1.53
O 0.7313 0.8188 0.8009  1 P 1.53
O 0.0875 0.8188 0.8009  1 P 1.53
O 0.2157 0.4313 0.6066  2 P 1.63
O 0.7843 0.5687 0.1066  2 P 1.63
O 0.8927 0.4301 0.6283  1 P 1.52
O 0.5374 0.4301 0.6283  1 P 1.52
O 0.1073 0.5699 0.1283  1 P 1.52
O 0.4626 0.5699 0.1283  1 P 1.52
O 0.0993 0.5966 0.4906  1 P 1.54
O 0.4973 0.5966 0.4906  1 P 1.54
O 0.9007 0.4034 0.9906  1 P 1.54
O 0.5027 0.4034 0.9906  1 P 1.54
O 0.9274 0.2310 0.4979  1 P 1.54
O 0.3035 0.2310 0.4979  1 P 1.54
O 0.0726 0.7690 0.9979  1 P 1.54
O 0.6965 0.7690 0.9979  1 P 1.54

Output
The raw formation energy comes out at -3940 kJ/mol of formula units. The value obtained for the density of states at the Fermi level is 0.000 states/eV per atom. The volume comes out at 778 Å³/cell.

---

Here is a geometry-optimized SrTePb2 structure from Alexandria. Energies are from PBEsol.

a b c (Å): 4.4205 4.4205 6.5000
angles (deg): 90.00 90.00 90.00
Closest atoms and distances in Å follow each position.
Positions (direct):
Pb 0.0000 0.0000 0.7356  1 Pb 3.06
Pb 0.0000 0.0000 0.2644  1 Pb 3.06
Sr 0.5000 0.5000 0.0000  2 Te 3.25, 8 Pb 3.57
Te 0.5000 0.5000 0.5000  2 Sr 3.25, 8 Pb 3.48

Output
The raw formation energy comes out at -133 kJ/mol of formula units. The value obtained for the density of states at the Fermi level is 0.690 states/eV per atom. The volume comes out at 127 Å³/cell.

---

- Which formula does entry 5 have?
  AlBiAsRu2

---

- Among the records above, which one has the highest volume?
  Li3Lu3Te2O12

---

Copy entry 6 word for word.
Here is a geometry-optimized NbSn3Cl structure from Alexandria. Energies are from PBEsol.

a b c (Å): 5.0906 5.0906 5.0906
angles (deg): 90.00 90.00 90.00
Closest atoms and distances in Å follow each position.
Positions (direct):
Nb 0.5000 0.5000 0.5000  12 Sn 3.60
Sn 0.0000 0.5000 0.0000  2 Cl 2.55
Sn 0.0000 0.0000 0.5000  2 Cl 2.55
Sn 0.5000 0.0000 0.0000  2 Cl 2.55
Cl 0.0000 0.0000 0.0000  6 Sn 2.55

Output
The raw formation energy comes out at 448 kJ/mol of formula units. The value obtained for the density of states at the Fermi level is 1.309 states/eV per atom. The volume comes out at 132 Å³/cell.